1.
VASP calculation (meta-GGA SCAN) on a PBEsol-optimized structure of LaBe2Mo.

CIF file:
```
data_LaBe2Mo
_cell_length_a 3.595
_cell_length_b 4.738
_cell_length_c 7.497
_cell_angle_alpha 90.00
_cell_angle_beta 90.00
_cell_angle_gamma 90.00
_symmetry_space_group_name_H-M 'I m m 2'
_symmetry_Int_Tables_number 44
loop_
_symmetry_equiv_pos_as_xyz
'x,y,z'
'-x,-y,z'
'-x,y,z'
'x,-y,z'
'x+1/2,y+1/2,z+1/2'
'-x+1/2,-y+1/2,z+1/2'
'-x+1/2,y+1/2,z+1/2'
'x+1/2,-y+1/2,z+1/2'
loop_
_atom_site_label
_atom_site_type_symbol
_atom_site_fract_x
_atom_site_fract_y
_atom_site_fract_z
La1 La 0.000 0.000 0.000
Be1 Be 0.000 0.000 0.436
Be2 Be 0.000 0.500 0.793
Mo1 Mo 0.000 0.500 0.164
```

Computed properties:
Mass density (Mg/m³): 6.58
Distance to the lowest polymorph of the same formula (meV/atom): 0
ΔH_f (0 K) (meV/atom): 579.3
E_tot (eV per atom): -21.095

---

2.
VASP calculation (meta-GGA SCAN) on a PBEsol-optimized structure of NaTe2Au.

CIF file:
```
data_NaTe2Au
_cell_length_a 8.213
_cell_length_b 8.213
_cell_length_c 6.278
_cell_angle_alpha 90.00
_cell_angle_beta 90.00
_cell_angle_gamma 90.00
_symmetry_space_group_name_H-M 'I -4 2 d'
_symmetry_Int_Tables_number 122
_symmetry_space_group_name_Hall 'I -4 2bw'
loop_
_atom_site_label
_atom_site_type_symbol
_atom_site_fract_x
_atom_site_fract_y
_atom_site_fract_z
Na1 Na 0.000 0.000 0.000
Te1 Te 0.194 0.750 0.625
Au1 Au 0.000 0.000 0.500
```

Computed properties:
Mass density (Mg/m³): 7.45
Distance to the lowest polymorph of the same formula (meV/atom): 0
Uncorrected formation energy (eV/atom): -0.445
E_tot (eV per atom): -37.414

---

3.
VASP calculation (meta-GGA SCAN) on a PBEsol-optimized structure of TlZn2Cl.

CIF file:
```
data_TlZn2Cl
_cell_length_a 3.736
_cell_length_b 5.773
_cell_length_c 8.004
_cell_angle_alpha 90.00
_cell_angle_beta 90.00
_cell_angle_gamma 90.00
_symmetry_space_group_name_H-M 'C m m m'
_symmetry_Int_Tables_number 65
_symmetry_space_group_name_Hall '-C 2 2'
loop_
_atom_site_label
_atom_site_type_symbol
_atom_site_fract_x
_atom_site_fract_y
_atom_site_fract_z
Tl1 Tl 0.000 0.000 0.000
Zn1 Zn 0.000 0.500 0.266
Cl1 Cl 0.000 0.000 0.500
```

Computed properties:
Mass density (Mg/m³): 7.13
Distance to the lowest polymorph of the same formula (meV/atom): 188
Uncorrected formation energy (eV/atom): -0.048
E_tot (eV per atom): -26.889

---

4.
VASP calculation (meta-GGA SCAN) on a PBEsol-optimized structure of Li10Zn4O9.

CIF file:
```
data_Li10Zn4O9
_cell_length_a 9.667
_cell_length_b 9.667
_cell_length_c 4.636
_cell_angle_alpha 90.00
_cell_angle_beta 90.00
_cell_angle_gamma 90.00
_symmetry_space_group_name_H-M 'P 42/n m c'
_symmetry_Int_Tables_number 137
loop_
_symmetry_equiv_pos_as_xyz
'x,y,z'
'-x,-y,-z'
'-y+1/2,x,z+1/2'
'y+1/2,-x,-z+1/2'
'-x+1/2,-y+1/2,z'
'x+1/2,y+1/2,-z'
'y,-x+1/2,z+1/2'
'-y,x+1/2,-z+1/2'
'x+1/2,-y,-z'
'-x+1/2,y,z'
'-y,-x,-z+1/2'
'y,x,z+1/2'
'-x,y+1/2,-z'
'x,-y+1/2,z'
'y+1/2,x+1/2,-z+1/2'
'-y+1/2,-x+1/2,z+1/2'
loop_
_atom_site_label
_atom_site_type_symbol
_atom_site_fract_x
_atom_site_fract_y
_atom_site_fract_z
Li1 Li 0.062 0.106 0.040
Li2 Li 0.250 0.250 0.082
Zn1 Zn 0.088 0.750 0.481
O1 O 0.076 0.576 0.250
O2 O 0.093 0.250 0.321
O3 O 0.250 0.750 0.750
```

Computed properties:
Mass density (Mg/m³): 3.64
Uncorrected formation energy (eV/atom): -1.903
E_tot (eV per atom): -7.731